1:
PBE Ga2GePd8, optimized geometry; DOS(E_F) = 3.756 states/eV/cell
1.0
-2.067 3.551 5.789
2.067 -3.551 5.789
2.067 3.551 -5.789
Ga Ge Pd
2 1 8
Cartesian
0.000 0.000 2.203
0.000 0.000 9.376
0.000 0.000 5.789
2.067 1.603 -1.851
0.000 1.337 0.000
2.067 0.000 4.177
2.067 1.603 1.851
0.000 1.948 3.939
0.000 3.551 1.612
0.000 5.765 0.000
0.000 1.948 7.640

***

2:
PBE Ga2GePd8, optimized geometry; DOS(E_F) = 4.367 states/eV/cell
1.0
7.544 -2.066 0.000
7.544 2.066 0.000
-1.661 0.000 5.483
Ga Ge Pd
2 1 8
Cartesian
2.403 0.000 1.162
11.025 0.000 4.321
6.714 0.000 2.742
-0.097 0.000 1.451
1.774 0.000 4.397
4.244 0.000 2.938
5.984 0.000 0.278
7.444 0.000 5.206
9.184 0.000 2.546
11.654 0.000 1.086
13.525 0.000 4.033

***

Stability, descending: 2, 1